DFT (PBE-GGA) results for a geometry-optimized Na3Nd12Au5 structure.

total energy = -300.14 eV/cell
energy of formation = 2.52 eV/f.u.

Unit cell a=15.8713 b=15.8713 c=15.8713 alpha=109.47 beta=109.47 gamma=109.47
Fractional positions:
Na: 0.7500 0.3750 0.1250
Na: 0.8750 0.7500 0.1250
Na: 0.3750 0.7500 0.6250
Na: 0.2500 0.1250 0.3750
Na: 0.8750 0.1250 0.2500
Na: 0.3750 0.6250 0.2500
Na: 0.6250 0.3750 0.7500
Na: 0.1250 0.8750 0.7500
Na: 0.7500 0.8750 0.6250
Na: 0.6250 0.2500 0.3750
Na: 0.1250 0.2500 0.8750
Na: 0.2500 0.6250 0.8750
Au: 0.1250 0.3750 0.2500
Au: 0.0000 0.5000 0.0000
Au: 0.0000 0.0000 0.0000
Au: 0.3750 0.2500 0.1250
Au: 0.5000 0.0000 0.5000
Au: 0.5000 0.5000 0.0000
Au: 0.1250 0.7500 0.3750
Au: 0.7500 0.1250 0.8750
Au: 0.7500 0.6250 0.3750
Au: 0.3750 0.1250 0.7500
Au: 0.6250 0.8750 0.2500
Au: 0.5000 0.5000 0.5000
Au: 0.5000 0.0000 0.0000
Au: 0.0000 0.0000 0.5000
Au: 0.2500 0.3750 0.6250
Au: 0.2500 0.8750 0.1250
Au: 0.0000 0.5000 0.5000
Au: 0.8750 0.2500 0.6250
Au: 0.6250 0.7500 0.8750
Au: 0.8750 0.6250 0.7500
Nd: 0.7071 0.1152 0.0346
Nd: 0.3274 0.5346 0.4193
Nd: 0.9654 0.3848 0.2929
Nd: 0.5346 0.2071 0.1152
Nd: 0.5919 0.7071 0.6726
Nd: 0.9654 0.5807 0.1726
Nd: 0.3274 0.7929 0.4081
Nd: 0.0807 0.9081 0.1152
Nd: 0.5807 0.9654 0.6726
Nd: 0.7071 0.5919 0.1726
Nd: 0.7929 0.4654 0.3848
Nd: 0.8274 0.9193 0.0346
Nd: 0.1152 0.7071 0.5346
Nd: 0.3848 0.4193 0.0919
Nd: 0.0919 0.9193 0.3848
Nd: 0.4081 0.1152 0.5807
Nd: 0.0919 0.1726 0.2071
Nd: 0.4654 0.6726 0.0807
Nd: 0.8274 0.9081 0.2929
Nd: 0.1152 0.4081 0.0807
Nd: 0.3848 0.9654 0.7929
Nd: 0.5807 0.6152 0.4081
Nd: 0.9193 0.8274 0.5346
Nd: 0.7929 0.3274 0.9081
Nd: 0.4193 0.3848 0.5919
Nd: 0.0807 0.1726 0.4654
Nd: 0.2071 0.6726 0.0919
Nd: 0.1726 0.0919 0.7071
Nd: 0.6152 0.0346 0.2071
Nd: 0.8848 0.5919 0.9193
Nd: 0.5346 0.3274 0.9193
Nd: 0.5919 0.8848 0.4193
Nd: 0.9081 0.8274 0.7929
Nd: 0.9081 0.0807 0.6152
Nd: 0.8848 0.2929 0.4654
Nd: 0.1726 0.0807 0.9654
Nd: 0.6152 0.5807 0.9081
Nd: 0.4193 0.0346 0.3274
Nd: 0.2929 0.4081 0.8274
Nd: 0.2071 0.5346 0.6152
Nd: 0.9193 0.0919 0.8848
Nd: 0.6726 0.2071 0.5919
Nd: 0.4654 0.7929 0.8848
Nd: 0.0346 0.4193 0.8274
Nd: 0.4081 0.2929 0.3274
Nd: 0.0346 0.6152 0.7071
Nd: 0.6726 0.4654 0.5807
Nd: 0.2929 0.8848 0.9654